1.
Material: Bi4S4Cl3
Method: DFT, GGA-PBE
State: optimized geometry

Calculated values
Formation energy from raw total energies ... -0.3676 eV/atom
Space group ... No. 71
Total energy ... -3.783 eV per atom

Structure (POSCAR):
```
Bi4S4Cl3
1.0
-1.918 4.461 7.995
1.918 -4.461 7.995
1.918 4.461 -7.995
Bi S Cl
4 4 3
Cartesian
0.000 0.000 3.726
1.918 2.351 0.000
0.000 2.110 7.995
0.000 0.000 12.265
1.918 1.697 -2.648
1.918 1.697 2.648
0.000 2.764 5.348
0.000 2.764 10.643
0.000 0.000 0.000
1.918 0.000 6.401
0.000 4.461 1.595
```

2.
Material: Ca3NbO
Method: DFT, GGA-PBE
State: optimized geometry

Calculated values
Formation energy from raw total energies ... -0.6062 eV/atom
Energy above the lowest structure with this stoichiometry ... 0.000 eV/atom
Space group ... No. 221
Total energy ... -4.813 eV per atom

Structure (POSCAR):
```
Ca3NbO
1.0
4.905 0.000 0.000
0.000 4.905 0.000
0.000 0.000 4.905
Ca Nb O
3 1 1
Cartesian
0.000 0.000 2.453
0.000 2.453 0.000
2.453 0.000 0.000
2.453 2.453 2.453
0.000 0.000 0.000
```

3.
Material: KNbSO2
Method: DFT, GGA-PBE
State: optimized geometry

Calculated values
Formation energy from raw total energies ... -1.8278 eV/atom
Space group ... No. 123
Total energy ... -6.870 eV per atom

Structure (POSCAR):
```
KNbSO2
1.0
4.078 0.000 0.000
0.000 4.078 0.000
0.000 0.000 4.977
K Nb S O
1 1 1 2
Cartesian
0.000 0.000 0.000
2.039 2.039 2.489
2.039 2.039 0.000
0.000 2.039 2.489
2.039 0.000 2.489
```

4.
Material: Ca2ZnOs
Method: DFT, GGA-PBE
State: optimized geometry

Calculated values
Formation energy ... 338 meV/atom
Space group ... No. 216
Total energy ... -3.788 eV per atom

Structure (POSCAR):
```
Ca2ZnOs
1.0
0.000 3.437 3.437
3.437 0.000 3.437
3.437 3.437 0.000
Ca Zn Os
2 1 1
Cartesian
0.000 0.000 0.000
1.718 1.718 1.718
5.155 5.155 5.155
3.437 3.437 3.437
```

5.
Material: Ho2Fe17H3
Method: DFT, GGA-PBE
State: optimized geometry

Calculated values
Space group ... No. 194
Total energy ... -7.484 eV per atom

Structure (POSCAR):
```
Ho2Fe17H3
1.0
8.515 0.000 0.000
-4.257 7.374 0.000
0.000 0.000 8.188
Ho Fe H
4 34 6
Cartesian
0.000 0.000 2.047
0.000 0.000 6.141
0.000 4.916 2.047
4.257 2.458 6.141
-2.129 3.687 0.000
-2.129 3.687 4.094
-1.198 2.776 6.141
-2.452 4.949 6.141
0.000 2.457 0.128
0.000 2.457 3.966
-2.130 6.145 0.128
-2.130 6.145 3.966
1.198 2.776 6.141
-1.254 7.023 6.141
2.128 1.228 4.222
2.128 1.228 8.060
0.000 4.916 4.958
0.000 4.916 7.324
3.003 0.351 2.047
1.805 2.425 2.047
4.257 0.000 0.000
4.257 0.000 4.094
2.129 3.687 0.000
2.129 3.687 4.094
2.452 4.949 6.141
1.254 7.023 6.141
4.257 2.458 0.864
4.257 2.458 3.230
2.130 6.145 0.128
2.130 6.145 3.966
5.512 0.351 2.047
3.060 4.598 2.047
6.387 1.228 4.222
6.387 1.228 8.060
4.257 4.917 4.222
4.257 4.917 8.060
6.709 2.425 2.047
5.455 4.598 2.047
0.000 2.429 2.047
-2.154 6.159 2.047
2.104 1.215 6.141
2.154 6.159 2.047
6.411 1.215 6.141
4.257 4.945 6.141
```

6.
Material: SiOs2F
Method: DFT, GGA-PBE
State: optimized geometry

Calculated values
Formation energy from raw total energies ... 0.0917 eV/atom
Energy above the lowest structure with this stoichiometry ... 0.000 eV/atom
Space group ... No. 122
Total energy ... -7.347 eV per atom

Structure (POSCAR):
```
SiOs2F
1.0
-4.037 4.037 1.938
4.037 -4.037 1.938
4.037 4.037 -1.938
Si Os F
2 4 2
Cartesian
0.000 0.000 0.000
0.000 4.037 0.969
2.018 1.327 -0.484
2.709 -2.018 2.422
2.018 2.709 1.453
1.327 6.055 0.484
4.037 0.000 0.969
0.000 0.000 1.938
```

In Å³/cell, the volume values for the records above are, in order, 273.6, 118.0, 82.8, 81.2, 514.1, 126.3.